VASP calculation (meta-GGA SCAN) on Ba2SrTl2 at its PBEsol-relaxed geometry.

Computed properties:
Space group: P4/mbm, No. 127
DFT total energy: -248.5 eV/f.u.

```
10
Lattice="-4.1821 -0.7157 -0.8309 2.3426 -3.7359 -8.5729 0.7011 -8.7427 4.0015" Properties=species:S:1:pos:R:3 pbc="T T T"
Sr 0.0000 0.0000 0.0000
Sr 1.5219 -6.2393 -2.2857
Tl 1.4648 -8.9394 0.3273
Tl 2.4733 -8.7779 -4.8880
Tl 1.5789 -3.5392 -4.8987
Tl 0.5704 -3.7008 0.3167
Ba -1.2524 -6.7303 0.8523
Ba 0.0446 -10.1657 -2.7168
Ba 0.1140 -6.4641 -6.2545
Ba -1.1830 -3.0287 -2.6855
```